(1)
Nd7S6Cl9 at its PBEsol-relaxed geometry, computed with SCAN.

Output
N(E_F), states/eV/f.u.: 0.0
Space-group type: P2/c (13)

a = 24.105 Å, b = 6.632 Å, c = 6.892 Å
α = 90.00°, β = 97.73°, γ = 90.00°
Fractional positions:
1 Nd 0.000 0.214 0.250
2 Nd 0.000 0.786 0.750
3 Nd 0.144 0.196 0.879
4 Nd 0.144 0.804 0.379
5 Nd 0.285 0.195 0.363
6 Nd 0.285 0.805 0.863
7 Nd 0.424 0.220 0.009
8 Nd 0.424 0.780 0.509
9 Nd 0.576 0.220 0.491
10 Nd 0.576 0.780 0.991
11 Nd 0.715 0.195 0.137
12 Nd 0.715 0.805 0.637
13 Nd 0.856 0.196 0.621
14 Nd 0.856 0.804 0.121
15 S 0.072 0.038 0.575
16 S 0.072 0.962 0.075
17 S 0.217 0.055 0.619
18 S 0.217 0.945 0.119
19 S 0.361 0.054 0.689
20 S 0.361 0.946 0.189
21 S 0.639 0.054 0.811
22 S 0.639 0.946 0.311
23 S 0.783 0.055 0.881
24 S 0.783 0.945 0.381
25 S 0.928 0.038 0.925
26 S 0.928 0.962 0.425
27 Cl 0.060 0.456 0.945
28 Cl 0.060 0.544 0.445
29 Cl 0.190 0.434 0.230
30 Cl 0.190 0.566 0.730
31 Cl 0.322 0.419 0.036
32 Cl 0.322 0.581 0.536
33 Cl 0.445 0.383 0.389
34 Cl 0.445 0.617 0.889
35 Cl 0.500 0.055 0.750
36 Cl 0.500 0.945 0.250
37 Cl 0.555 0.383 0.111
38 Cl 0.555 0.617 0.611
39 Cl 0.678 0.419 0.464
40 Cl 0.678 0.581 0.964
41 Cl 0.810 0.434 0.270
42 Cl 0.810 0.566 0.770
43 Cl 0.940 0.456 0.555
44 Cl 0.940 0.544 0.055


(2)
Nd3S2Cl5 at its PBEsol-relaxed geometry, computed with SCAN.

Output
N(E_F), states/eV/f.u.: 0.0
Space-group type: P2_1/c (14)

a = 21.564 Å, b = 6.516 Å, c = 7.013 Å
α = 90.00°, β = 97.95°, γ = 90.00°
Fractional positions:
1 Nd 0.096 0.045 0.206
2 Nd 0.096 0.455 0.706
3 Nd 0.250 0.042 0.861
4 Nd 0.250 0.458 0.361
5 Nd 0.400 0.043 0.337
6 Nd 0.400 0.457 0.837
7 Nd 0.600 0.543 0.163
8 Nd 0.600 0.957 0.663
9 Nd 0.750 0.542 0.639
10 Nd 0.750 0.958 0.139
11 Nd 0.904 0.545 0.294
12 Nd 0.904 0.955 0.794
13 S 0.168 0.187 0.535
14 S 0.168 0.313 0.035
15 S 0.326 0.186 0.600
16 S 0.326 0.314 0.100
17 S 0.674 0.686 0.900
18 S 0.674 0.814 0.400
19 S 0.832 0.687 0.965
20 S 0.832 0.813 0.465
21 Cl 0.012 0.228 0.897
22 Cl 0.012 0.272 0.397
23 Cl 0.127 0.669 0.383
24 Cl 0.127 0.831 0.883
25 Cl 0.256 0.633 0.731
26 Cl 0.256 0.867 0.231
27 Cl 0.381 0.649 0.477
28 Cl 0.381 0.851 0.977
29 Cl 0.482 0.180 0.659
30 Cl 0.482 0.320 0.159
31 Cl 0.518 0.680 0.841
32 Cl 0.518 0.820 0.341
33 Cl 0.619 0.149 0.023
34 Cl 0.619 0.351 0.523
35 Cl 0.744 0.133 0.769
36 Cl 0.744 0.367 0.269
37 Cl 0.873 0.169 0.117
38 Cl 0.873 0.331 0.617
39 Cl 0.988 0.728 0.603
40 Cl 0.988 0.772 0.103


(3)
NdTeCl at its PBEsol-relaxed geometry, computed with SCAN.

Output
Space-group type: P4/nmm (129)

a = 4.399 Å, b = 4.399 Å, c = 8.131 Å
α = 90.00°, β = 90.00°, γ = 90.00°
Fractional positions:
1 Nd 0.250 0.250 0.238
2 Nd 0.750 0.750 0.762
3 Te 0.250 0.250 0.634
4 Te 0.750 0.750 0.366
5 Cl 0.250 0.750 0.000
6 Cl 0.750 0.250 0.000


(4)
Ni3Cl at its PBEsol-relaxed geometry, computed with SCAN.

Output
N(E_F), states/eV/f.u.: 4.0
Space-group type: Cmmm (65)
Energy relative to the lowest polymorph listed for this composition, kJ/mol of formula units: 112

a = 4.230 Å, b = 4.230 Å, c = 2.726 Å
α = 90.00°, β = 90.00°, γ = 107.68°
Fractional positions:
1 Ni 0.000 0.000 0.000
2 Ni 0.000 0.500 0.500
3 Ni 0.500 0.000 0.500
4 Cl 0.500 0.500 0.000


Number 1: final energy -22.24 eV per atom. Number 2: final energy -21.52 eV per atom. Number 3: final energy -31.68 eV per atom. Number 4: final energy -13.53 eV per atom.